DFT (PBE) results for a relaxed Dy5Y2Sc2 crystal.

abc: 14.722 11.625 6.431
angles: 90.00 90.00 90.00
Space group Ima2 (No. 46)
Symmetry-distinct sites (fractional):
1 Dy 0.056 0.210 0.000 (multiplicity 8)
2 Dy 0.147 0.729 0.062 (multiplicity 8)
3 Dy 0.250 0.194 0.677 (multiplicity 4)
4 Y 0.000 0.000 0.365 (multiplicity 4)
5 Y 0.250 0.004 0.269 (multiplicity 4)
6 Sc 0.120 0.522 0.329 (multiplicity 8)

* distance to the lowest polymorph of the same formula: 124.4 meV per atom
* ΔE_f: 0.25 eV per atom